1.
This record from Alexandria via LeMat-Bulk describes a PBEsol-optimized structure of ScAl3O. The functional is SCAN.

Lattice parameters (Å, degrees): 4.2274 4.2274 4.2274 90.00 90.00 90.00
Positions (direct):
O 0.0000 0.0000 0.0000
Al 0.5000 0.0000 0.0000
Al 0.0000 0.5000 0.0000
Al 0.0000 0.0000 0.5000
Sc 0.5000 0.5000 0.5000

Values from the calculation:
The calculation puts the uncorrected formation energy at -60 kJ per mole of atoms. For the density of states at the Fermi level, the calculation gives 3.28 states/eV/cell. Its symmetry is No. 221. As for the total energy: -9.3678 eV/atom.

=====

2.
This record from Alexandria via LeMat-Bulk describes a PBEsol-optimized structure of Sm3Sc2Al3O12. The functional is SCAN.

Lattice parameters (Å, degrees): 10.7760 10.7760 10.7760 109.47 109.47 109.47
Positions (direct):
O 0.0999 0.6882 0.4767
O 0.9117 0.3118 0.7886
O 0.2114 0.0233 0.6231
O 0.0999 0.4117 0.1231
O 0.1231 0.9117 0.0999
O 0.4001 0.5233 0.3118
O 0.8118 0.4117 0.2886
O 0.2114 0.1882 0.0883
O 0.1882 0.5999 0.9767
O 0.0233 0.9001 0.8118
O 0.9001 0.3118 0.5233
O 0.8769 0.0883 0.9001
O 0.6231 0.0999 0.9117
O 0.7886 0.8118 0.9117
O 0.6882 0.7114 0.5883
O 0.3769 0.9001 0.0883
O 0.5999 0.1231 0.4117
O 0.3118 0.0233 0.4001
O 0.4767 0.1882 0.0999
O 0.5999 0.4767 0.6882
O 0.1231 0.2114 0.5233
O 0.2886 0.9117 0.8118
O 0.9767 0.0999 0.1882
O 0.0883 0.6882 0.2114
O 0.3769 0.4767 0.7886
O 0.0883 0.4001 0.3769
O 0.9117 0.5999 0.6231
O 0.4001 0.8769 0.5883
O 0.9767 0.8769 0.2886
O 0.5233 0.7114 0.1231
O 0.7114 0.0883 0.1882
O 0.5883 0.3769 0.4001
O 0.8769 0.7886 0.4767
O 0.8118 0.4001 0.0233
O 0.7886 0.9767 0.3769
O 0.5233 0.8118 0.9001
O 0.4117 0.6231 0.5999
O 0.7114 0.6231 0.0233
O 0.6882 0.9767 0.5999
O 0.4767 0.2886 0.8769
O 0.0233 0.1231 0.7114
O 0.3118 0.2886 0.4117
O 0.2886 0.3769 0.9767
O 0.5883 0.2114 0.6882
O 0.1882 0.5883 0.7114
O 0.4117 0.7886 0.3118
O 0.6231 0.5233 0.2114
O 0.9001 0.5883 0.8769
Al 0.7500 0.6250 0.8750
Al 0.1250 0.2500 0.3750
Al 0.3750 0.6250 0.7500
Al 0.6250 0.2500 0.8750
Al 0.1250 0.8750 0.2500
Al 0.7500 0.1250 0.3750
Al 0.8750 0.1250 0.7500
Al 0.6250 0.3750 0.2500
Al 0.2500 0.8750 0.6250
Al 0.2500 0.3750 0.1250
Al 0.8750 0.7500 0.6250
Al 0.3750 0.7500 0.1250
Sc 0.5000 0.0000 0.0000
Sc 0.0000 0.0000 0.5000
Sc 0.0000 0.5000 0.5000
Sc 0.5000 0.0000 0.5000
Sc 0.0000 0.5000 0.0000
Sc 0.0000 0.0000 0.0000
Sc 0.5000 0.5000 0.5000
Sc 0.5000 0.5000 0.0000
Sm 0.6250 0.8750 0.7500
Sm 0.2500 0.6250 0.3750
Sm 0.2500 0.1250 0.8750
Sm 0.1250 0.7500 0.8750
Sm 0.7500 0.8750 0.1250
Sm 0.6250 0.7500 0.3750
Sm 0.7500 0.3750 0.6250
Sm 0.1250 0.3750 0.7500
Sm 0.8750 0.6250 0.2500
Sm 0.3750 0.1250 0.2500
Sm 0.8750 0.2500 0.1250
Sm 0.3750 0.2500 0.6250

Values from the calculation:
The calculation puts the uncorrected formation energy at -359 kJ per mole of atoms. For the density of states at the Fermi level, the calculation gives 0.00 states/eV/cell. Its symmetry is No. 230. As for the total energy: -16.7145 eV/atom.

=====

3.
This record from Alexandria via LeMat-Bulk describes a PBEsol-optimized structure of Tm3Sc2Al3O12. The functional is SCAN.

Lattice parameters (Å, degrees): 10.5606 10.5606 10.5606 109.47 109.47 109.47
Positions (direct):
O 0.1272 0.9106 0.0978
O 0.3728 0.9022 0.0894
O 0.5978 0.4707 0.6872
O 0.0894 0.4022 0.3728
O 0.9022 0.5894 0.8728
O 0.0293 0.9022 0.8128
O 0.8728 0.0894 0.9022
O 0.8728 0.7834 0.4707
O 0.6872 0.7166 0.5894
O 0.0293 0.1272 0.7166
O 0.9707 0.8728 0.2834
O 0.0894 0.6872 0.2166
O 0.5293 0.7166 0.1272
O 0.4022 0.8728 0.5894
O 0.7834 0.8128 0.9106
O 0.1272 0.2166 0.5293
O 0.4707 0.1872 0.0978
O 0.1872 0.5978 0.9707
O 0.5978 0.1272 0.4106
O 0.6272 0.0978 0.9106
O 0.1872 0.5894 0.7166
O 0.6272 0.5293 0.2166
O 0.4022 0.5293 0.3128
O 0.3128 0.2834 0.4106
O 0.2834 0.9106 0.8128
O 0.5293 0.8128 0.9022
O 0.0978 0.4106 0.1272
O 0.8128 0.4106 0.2834
O 0.0978 0.6872 0.4707
O 0.3128 0.0293 0.4022
O 0.4106 0.6272 0.5978
O 0.7166 0.6272 0.0293
O 0.7834 0.9707 0.3728
O 0.7166 0.0894 0.1872
O 0.2166 0.0293 0.6272
O 0.9106 0.5978 0.6272
O 0.4707 0.2834 0.8728
O 0.9106 0.3128 0.7834
O 0.4106 0.7834 0.3128
O 0.2166 0.1872 0.0894
O 0.5894 0.2166 0.6872
O 0.6872 0.9707 0.5978
O 0.5894 0.3728 0.4022
O 0.2834 0.3728 0.9707
O 0.3728 0.4707 0.7834
O 0.9707 0.0978 0.1872
O 0.8128 0.4022 0.0293
O 0.9022 0.3128 0.5293
Tm 0.1250 0.3750 0.7500
Tm 0.7500 0.8750 0.1250
Tm 0.8750 0.2500 0.1250
Tm 0.2500 0.1250 0.8750
Tm 0.8750 0.6250 0.2500
Tm 0.3750 0.1250 0.2500
Tm 0.6250 0.7500 0.3750
Tm 0.7500 0.3750 0.6250
Tm 0.2500 0.6250 0.3750
Tm 0.1250 0.7500 0.8750
Tm 0.6250 0.8750 0.7500
Tm 0.3750 0.2500 0.6250
Al 0.7500 0.1250 0.3750
Al 0.8750 0.1250 0.7500
Al 0.2500 0.3750 0.1250
Al 0.3750 0.6250 0.7500
Al 0.2500 0.8750 0.6250
Al 0.6250 0.3750 0.2500
Al 0.3750 0.7500 0.1250
Al 0.8750 0.7500 0.6250
Al 0.7500 0.6250 0.8750
Al 0.1250 0.8750 0.2500
Al 0.1250 0.2500 0.3750
Al 0.6250 0.2500 0.8750
Sc 0.5000 0.0000 0.5000
Sc 0.5000 0.5000 0.5000
Sc 0.0000 0.5000 0.0000
Sc 0.5000 0.0000 0.0000
Sc 0.5000 0.5000 0.0000
Sc 0.0000 0.0000 0.5000
Sc 0.0000 0.0000 0.0000
Sc 0.0000 0.5000 0.5000

Values from the calculation:
The calculation puts the uncorrected formation energy at -364 kJ per mole of atoms. For the density of states at the Fermi level, the calculation gives 0.00 states/eV/cell. Its symmetry is No. 230. As for the total energy: -17.8704 eV/atom.

=====

4.
This record from Alexandria via LeMat-Bulk describes a PBEsol-optimized structure of Al2Se3O12. The functional is SCAN.

Lattice parameters (Å, degrees): 8.6209 8.6018 11.7782 90.00 90.00 90.00
Positions (direct):
O 0.0910 0.3072 0.3926
O 0.3311 0.5080 0.7319
O 0.3983 0.8860 0.6522
O 0.6689 0.0080 0.7319
O 0.4090 0.6928 0.8926
O 0.9090 0.6928 0.6074
O 0.1505 0.9121 0.9815
O 0.8714 0.1968 0.8088
O 0.1017 0.1140 0.1522
O 0.6689 0.4920 0.2681
O 0.6286 0.6968 0.6912
O 0.1689 0.0080 0.7681
O 0.9090 0.8072 0.3926
O 0.8311 0.9920 0.2319
O 0.1286 0.6968 0.8088
O 0.3714 0.3032 0.3088
O 0.6017 0.3860 0.6522
O 0.3733 0.1061 0.0452
O 0.3495 0.4121 0.5185
O 0.4090 0.8072 0.1074
O 0.0910 0.1928 0.6074
O 0.1286 0.8032 0.1912
O 0.8983 0.6140 0.1522
O 0.3983 0.6140 0.3478
O 0.8495 0.0879 0.0185
O 0.6267 0.6061 0.0452
O 0.6505 0.9121 0.5185
O 0.1267 0.6061 0.4548
O 0.5910 0.3072 0.1074
O 0.1267 0.8939 0.5452
O 0.8495 0.4121 0.9815
O 0.8733 0.1061 0.4548
O 0.1017 0.3860 0.8478
O 0.3714 0.1968 0.6912
O 0.3733 0.3939 0.9548
O 0.6267 0.8939 0.9548
O 0.8983 0.8860 0.8478
O 0.8714 0.3032 0.1912
O 0.6286 0.8032 0.3088
O 0.8733 0.3939 0.5452
O 0.6017 0.1140 0.3478
O 0.8311 0.5080 0.7681
O 0.1689 0.4920 0.2319
O 0.5910 0.1928 0.8926
O 0.1505 0.5879 0.0185
O 0.3495 0.0879 0.4815
O 0.3311 0.9920 0.2681
O 0.6505 0.5879 0.4815
Se 0.9098 0.3762 0.8518
Se 0.0902 0.6238 0.1482
Se 0.0902 0.8762 0.8518
Se 0.5902 0.8762 0.6482
Se 0.9811 0.2500 0.5000
Se 0.5902 0.6238 0.3518
Se 0.4098 0.1238 0.3518
Se 0.0189 0.7500 0.5000
Se 0.9098 0.1238 0.1482
Se 0.5189 0.7500 0.0000
Se 0.4098 0.3762 0.6482
Se 0.4811 0.2500 0.0000
Al 0.7499 0.9595 0.3790
Al 0.2499 0.5405 0.8790
Al 0.7501 0.0405 0.8790
Al 0.7501 0.4595 0.1210
Al 0.2501 0.4595 0.3790
Al 0.2499 0.9595 0.1210
Al 0.7499 0.5405 0.6210
Al 0.2501 0.0405 0.6210

Values from the calculation:
The calculation puts the uncorrected formation energy at -138 kJ per mole of atoms. For the density of states at the Fermi level, the calculation gives 0.00 states/eV/cell. Its symmetry is No. 60. As for the total energy: -10.2873 eV/atom.

=====

5.
This record from Alexandria via LeMat-Bulk describes a PBEsol-optimized structure of Al2Se3O12. The functional is SCAN.

Lattice parameters (Å, degrees): 8.3282 8.3282 8.8801 62.04 62.04 60.00
Positions (direct):
Al 0.1424 0.1424 0.5727
Al 0.6490 0.6490 0.0529
Al 0.3510 0.3510 0.9471
Al 0.8576 0.8576 0.4273
O 0.7933 0.4809 0.9092
O 0.5226 0.4908 0.8014
O 0.8167 0.7933 0.9092
O 0.7572 0.8755 0.2648
O 0.4809 0.8167 0.9092
O 0.1245 0.8974 0.7352
O 0.1833 0.2067 0.0908
O 0.6303 0.0140 0.5596
O 0.0140 0.7962 0.5596
O 0.2038 0.3697 0.4404
O 0.7962 0.6303 0.5596
O 0.8147 0.4774 0.1986
O 0.4908 0.1853 0.8014
O 0.3697 0.9860 0.4404
O 0.8755 0.1026 0.2648
O 0.1853 0.5226 0.8014
O 0.4774 0.5092 0.1986
O 0.2428 0.1245 0.7352
O 0.5092 0.8147 0.1986
O 0.1026 0.7572 0.2648
O 0.5191 0.1833 0.0908
O 0.2067 0.5191 0.0908
O 0.8974 0.2428 0.7352
O 0.9860 0.2038 0.4404
Se 0.4618 0.0334 0.7534
Se 0.5382 0.9666 0.2466
Se 0.2487 0.5382 0.2466
Se 0.7513 0.4618 0.7534
Se 0.0334 0.7513 0.7534
Se 0.9666 0.2487 0.2466

Values from the calculation:
The calculation puts the uncorrected formation energy at -140 kJ per mole of atoms. For the density of states at the Fermi level, the calculation gives 0.00 states/eV/cell. Its symmetry is No. 148. As for the total energy: -10.3080 eV/atom.

=====

6.
This record from Alexandria via LeMat-Bulk describes a PBEsol-optimized structure of AlTe2SeO. The functional is SCAN.

Lattice parameters (Å, degrees): 4.6956 5.2268 5.2268 90.00 90.00 90.00
Positions (direct):
Te 0.0000 0.0000 0.5000
Te 0.0000 0.5000 0.0000
Se 0.5000 0.0000 0.0000
Al 0.0000 0.0000 0.0000
O 0.5000 0.5000 0.5000

Values from the calculation:
The calculation puts the uncorrected formation energy at 65 kJ per mole of atoms. For the density of states at the Fermi level, the calculation gives 4.87 states/eV/cell. Its symmetry is No. 123. As for the total energy: -21.0417 eV/atom.